[1]
HoEr2Sn2 | PBE | relaxed

The structure in extended XYZ format:
```
5
Lattice="2.585 1.492 5.791 -2.585 1.492 5.791 0.000 -2.985 5.791" Properties=species:S:1:pos:R:3 pbc="T T T"
Ho 0.000 0.000 0.000
Er 0.000 0.000 3.617
Er 0.000 0.000 13.757
Sn 0.000 0.000 7.086
Sn 0.000 0.000 10.288
```

## Properties
space group	R-3m
N(E_F)	3.511	states/eV/cell
VASP energy	-24.44	eV/cell
total magnetic moment	0.00	μB per atom
energy relative to the elements	-263	kJ/mol of formula units



[2]
Ti2NiRh2 | PBE | relaxed

The structure in extended XYZ format:
```
10
Lattice="7.216 0.000 0.000 0.000 7.216 0.000 0.000 0.000 2.921" Properties=species:S:1:pos:R:3 pbc="T T T"
Ti 1.131 2.477 0.000
Ti 2.477 6.084 0.000
Ti 4.739 1.131 0.000
Ti 6.084 4.739 0.000
Ni 0.000 0.000 0.000
Ni 3.608 3.608 0.000
Rh 1.043 4.651 1.460
Rh 2.564 1.043 1.460
Rh 4.651 6.172 1.460
Rh 6.172 2.564 1.460
```

## Properties
space group	P4/mbm
N(E_F)	5.998	states/eV/cell
VASP energy	-76.25	eV/cell
total magnetic moment	0.00	μB per atom
energy relative to the elements	-178	kJ/mol of formula units



[3]
AgRuPbCl6 | PBE | relaxed

The structure in extended XYZ format:
```
18
Lattice="6.865 0.000 0.000 -3.433 5.946 0.000 0.000 0.000 11.368" Properties=species:S:1:pos:R:3 pbc="T T T"
Ag 0.000 0.000 0.000
Ag 0.000 0.000 5.684
Ru 0.000 3.964 2.842
Ru 3.433 1.982 8.526
Pb 0.000 3.964 8.526
Pb 3.433 1.982 2.842
Cl -0.932 2.258 1.447
Cl -1.943 4.010 4.237
Cl 0.932 2.258 4.237
Cl -1.011 5.624 1.447
Cl 2.422 0.322 7.131
Cl 1.490 1.936 9.921
Cl 1.943 4.010 1.447
Cl 1.011 5.624 4.237
Cl 4.444 0.322 9.921
Cl 2.501 3.687 7.131
Cl 5.376 1.936 7.131
Cl 4.365 3.687 9.921
```

## Properties
uncorrected formation energy	-0.6580	eV per atom
space group	P-31c
N(E_F)	13.452	states/eV/cell
VASP energy	-65.67	eV/cell
total magnetic moment	0.12	μB per atom



[4]
MgHgI2O | PBE | relaxed

The structure in extended XYZ format:
```
5
Lattice="6.118 0.000 0.000 0.000 6.118 0.000 0.000 0.000 3.708" Properties=species:S:1:pos:R:3 pbc="T T T"
Mg 0.000 0.000 0.000
Hg 3.059 3.059 1.854
I 0.000 3.059 0.000
I 3.059 0.000 0.000
O 0.000 0.000 1.854
```

## Properties
uncorrected formation energy	-0.5211	eV per atom
space group	P4/mmm
N(E_F)	5.697	states/eV/cell
VASP energy	-12.56	eV/cell
distance to the lowest polymorph of the same formula	0.00	kcal/mol of atoms
total magnetic moment	0.00	μB per atom



[5]
TbHoI6 | PBE | relaxed

The structure in extended XYZ format:
```
8
Lattice="3.808 2.198 6.870 -3.808 2.198 6.870 0.000 -4.397 6.870" Properties=species:S:1:pos:R:3 pbc="T T T"
Tb 0.000 0.000 0.000
Ho 0.000 0.000 10.305
I -1.216 -2.187 8.594
I -2.502 -0.041 12.016
I -1.286 2.146 8.594
I 1.286 -2.146 12.016
I 2.502 0.041 8.594
I 1.216 2.187 12.016
```

## Properties
uncorrected formation energy	-1.3245	eV per atom
space group	R-3
N(E_F)	0.000	states/eV/cell
VASP energy	-29.10	eV/cell
distance to the lowest polymorph of the same formula	0.58	kcal/mol of atoms
total magnetic moment	0.00	μB per atom



[6]
Zn2InNi | PBE | relaxed

The structure in extended XYZ format:
```
4
Lattice="5.588 -1.434 0.000 5.588 1.434 0.000 -1.642 0.000 4.070" Properties=species:S:1:pos:R:3 pbc="T T T"
Zn 1.953 0.000 0.831
Zn 7.581 0.000 3.239
In -0.821 0.000 2.035
Ni 5.588 0.000 0.000
```

## Properties
space group	C2/m
N(E_F)	0.602	states/eV/cell
VASP energy	-11.30	eV/cell
total magnetic moment	0.00	μB per atom
energy relative to the elements	-22	kJ/mol of formula units



[7]
CrIn2Pb | PBE | relaxed

The structure in extended XYZ format:
```
4
Lattice="-2.240 2.240 4.857 2.240 -2.240 4.857 2.240 2.240 -4.857" Properties=species:S:1:pos:R:3 pbc="T T T"
Cr 0.000 0.000 0.000
In 2.240 0.000 2.429
In 0.000 2.240 2.429
Pb 0.000 0.000 4.857
```

## Properties
space group	I4/mmm
N(E_F)	2.253	states/eV/cell
VASP energy	-17.39	eV/cell
total magnetic moment	1.02	μB per atom
energy relative to the elements	137	kJ/mol of formula units



[8]
Re2P2O | PBE | relaxed

The structure in extended XYZ format:
```
5
Lattice="-1.740 1.740 5.835 1.740 -1.740 5.835 1.740 1.740 -5.835" Properties=species:S:1:pos:R:3 pbc="T T T"
Re 0.000 0.000 1.372
Re 0.000 0.000 10.298
P 1.740 0.000 2.917
P 0.000 1.740 2.917
O 0.000 0.000 5.835
```

## Properties
uncorrected formation energy	0.4256	eV per atom
space group	I4/mmm
N(E_F)	4.281	states/eV/cell
VASP energy	-38.55	eV/cell
distance to the lowest polymorph of the same formula	7.71	kcal/mol of atoms
total magnetic moment	0.00	μB per atom



[9]
ZrPa2CrN6 | PBE | relaxed

The structure in extended XYZ format:
```
10
Lattice="5.314 0.000 0.000 0.000 5.314 0.000 0.000 0.000 4.953" Properties=species:S:1:pos:R:3 pbc="T T T"
Zr 0.000 0.000 0.000
Pa 0.000 2.657 2.080
Pa 2.657 0.000 2.080
Cr 2.657 2.657 0.075
N 0.000 0.000 2.915
N 1.388 1.388 0.853
N 1.388 3.926 0.853
N 2.657 2.657 3.312
N 3.926 1.388 0.853
N 3.926 3.926 0.853
```

## Properties
uncorrected formation energy	-1.0950	eV per atom
space group	P4mm
N(E_F)	4.487	states/eV/cell
VASP energy	-98.07	eV/cell
total magnetic moment	0.20	μB per atom



[10]
IrOsPd2Se | PBE | relaxed

The structure in extended XYZ format:
```
5
Lattice="4.876 0.000 0.000 0.000 4.876 0.000 0.000 0.000 4.646" Properties=species:S:1:pos:R:3 pbc="T T T"
Ir 0.000 0.000 0.000
Os 0.000 0.000 2.323
Pd 0.000 2.438 0.000
Pd 2.438 0.000 0.000
Se 2.438 2.438 2.323
```

## Properties
uncorrected formation energy	1.5503	eV per atom
space group	P4/mmm
N(E_F)	7.766	states/eV/cell
VASP energy	-26.21	eV/cell
total magnetic moment	0.11	μB per atom



[11]
Ta2SnO4 | PBE | relaxed

The structure in extended XYZ format:
```
7
Lattice="-1.978 1.978 8.746 1.978 -1.978 8.746 1.978 1.978 -8.746" Properties=species:S:1:pos:R:3 pbc="T T T"
Ta 0.000 0.000 4.064
Ta 0.000 0.000 13.427
Sn 0.000 0.000 0.000
O 1.978 0.000 0.000
O 0.000 0.000 2.312
O 0.000 1.978 0.000
O 0.000 0.000 15.179
```

## Properties
uncorrected formation energy	-0.8264	eV per atom
space group	I4/mmm
N(E_F)	3.361	states/eV/cell
VASP energy	-53.33	eV/cell
total magnetic moment	0.00	μB per atom



[12]
Pm2Pr6Er3Tm | PBE | relaxed

The structure in extended XYZ format:
```
12
Lattice="3.156 -5.468 0.000 3.156 5.468 0.000 -2.100 0.000 11.733" Properties=species:S:1:pos:R:3 pbc="T T T"
Pm 3.156 3.644 0.000
Pm 3.156 -3.644 0.000
Pr 0.007 1.816 8.769
Pr 1.059 0.000 2.968
Pr 0.007 -1.816 8.769
Pr 4.206 1.816 2.964
Pr 3.154 0.000 8.765
Pr 4.206 -1.816 2.964
Er -1.050 0.000 5.867
Er 2.106 1.821 5.867
Er 2.106 -1.821 5.867
Tm 3.156 0.000 0.000
```

## Properties
space group	C2/m
N(E_F)	13.653	states/eV/cell
VASP energy	-56.17	eV/cell
total magnetic moment	0.00	μB per atom
energy relative to the elements	16	kJ/mol of formula units